Here is crystalline NaMg2TiF8 at its relaxed geometry from the Alexandria database. Energies are from GGA-PBE. Values from VASP.

Cell and atoms, written as Quantum ESPRESSO input:
```
&SYSTEM
  ibrav = 0, nat = 12, ntyp = 4
/
ATOMIC_SPECIES
Na 22.99 Na.upf
Mg 24.30 Mg.upf
Ti 47.87 Ti.upf
F 19.00 F.upf
ATOMIC_POSITIONS angstrom
Na 0.002 0.004 3.177
Mg 2.440 2.421 4.726
Mg 2.438 2.417 1.619
Ti 0.000 0.000 0.000
F 1.024 3.838 1.367
F 3.400 3.374 -0.006
F 3.851 0.996 1.368
F 3.854 1.000 4.978
F 1.477 1.464 6.350
F 1.026 3.842 4.976
F 3.317 3.296 3.171
F 1.560 1.542 3.174
CELL_PARAMETERS angstrom
4.843 -0.011 -0.003
0.030 4.842 -0.006
0.004 0.007 6.353
```

Summary:
Space group: Cmmm, No. 65
Formation energy (no corrections), eV/atom: -3.321

---

Here is crystalline LiNb2Br at its relaxed geometry from the Alexandria database. Energies are from GGA-PBE. Values from VASP.

Cell and atoms, written as Quantum ESPRESSO input:
```
&SYSTEM
  ibrav = 0, nat = 8, ntyp = 3
/
ATOMIC_SPECIES
Nb 92.91 Nb.upf
Br 79.90 Br.upf
Li 6.94 Li.upf
ATOMIC_POSITIONS angstrom
Nb 2.815 0.942 2.764
Nb 0.954 2.827 2.764
Nb 2.827 2.839 8.293
Nb 4.711 4.699 8.293
Br 0.000 0.000 0.000
Br 3.769 1.884 5.529
Li 1.884 1.884 0.000
Li 1.884 3.769 5.529
CELL_PARAMETERS angstrom
3.769 0.000 0.000
0.000 3.769 0.000
1.884 1.884 11.058
```

Summary:
Space group: I-42d, No. 122
Formation energy (no corrections), eV/atom: 0.352
Excess energy over the best structure of this formula in the dataset, eV/atom: 0.000

---

Here is crystalline CsAgB2H8 at its relaxed geometry from the Alexandria database. Energies are from GGA-PBE. Values from VASP.

Cell and atoms, written as Quantum ESPRESSO input:
```
&SYSTEM
  ibrav = 0, nat = 12, ntyp = 4
/
ATOMIC_SPECIES
Cs 132.91 Cs.upf
Ag 107.87 Ag.upf
B 10.81 B.upf
H 1.01 H.upf
ATOMIC_POSITIONS angstrom
Cs 5.003 2.889 3.438
Ag 0.000 0.000 0.000
B 2.502 1.444 1.572
B 7.505 4.333 5.304
H 2.502 1.444 2.794
H 3.521 0.862 1.157
H 7.505 4.333 4.082
H 2.496 2.619 1.157
H 7.510 3.158 5.719
H 1.487 0.852 1.157
H 8.519 4.925 5.719
H 6.485 4.915 5.719
CELL_PARAMETERS angstrom
5.003 0.000 0.000
2.502 4.333 0.000
2.502 1.444 6.876
```

Summary:
E, eV for the cell shown: -45.94
Space group: R-3, No. 148

---

Here is crystalline Er3Ag3SbS8 at its relaxed geometry from the Alexandria database. Energies are from GGA-PBE. Values from VASP.

Cell and atoms, written as Quantum ESPRESSO input:
```
&SYSTEM
  ibrav = 0, nat = 15, ntyp = 4
/
ATOMIC_SPECIES
Er 167.26 Er.upf
Ag 107.87 Ag.upf
Sb 121.76 Sb.upf
S 32.06 S.upf
ATOMIC_POSITIONS angstrom
Er -3.564 -3.380 -2.565
Er -2.992 -2.191 1.149
Er -2.889 1.659 1.994
Ag 0.000 0.000 0.000
Ag 0.572 1.189 3.714
Ag 0.469 -2.661 2.870
Sb -3.461 0.470 -1.720
S -1.308 -0.500 2.441
S -4.676 -3.882 -0.142
S -1.412 -4.366 1.667
S -4.572 -0.016 0.632
S -2.000 -5.592 -2.164
S -3.984 1.210 4.463
S -1.894 -1.622 -1.293
S -4.090 -2.761 3.592
CELL_PARAMETERS angstrom
-0.206 -7.700 -1.689
1.143 2.378 7.428
-6.921 0.940 -3.440
```

Summary:
Space group: C2/m, No. 12
Formation energy (no corrections), eV/atom: -1.048

---

Here is crystalline Ho3Ni2Ge3 at its relaxed geometry from the Alexandria database. Energies are from GGA-PBE. Values from VASP.

Cell and atoms, written as Quantum ESPRESSO input:
```
&SYSTEM
  ibrav = 0, nat = 16, ntyp = 3
/
ATOMIC_SPECIES
Ho 164.93 Ho.upf
Ni 58.69 Ni.upf
Ge 72.64 Ge.upf
ATOMIC_POSITIONS angstrom
Ho 2.098 4.231 5.502
Ho 0.000 0.904 12.536
Ho 2.098 4.231 1.532
Ho 0.000 0.904 8.566
Ho 2.098 1.371 3.517
Ho 0.000 3.764 10.551
Ni 2.098 3.070 12.653
Ni 0.000 2.066 5.619
Ni 2.098 3.070 8.449
Ni 0.000 2.066 1.415
Ge 2.098 1.268 6.497
Ge 0.000 3.867 13.531
Ge 2.098 1.268 0.537
Ge 0.000 3.867 7.571
Ge 0.000 3.448 3.517
Ge 2.098 1.687 10.551
CELL_PARAMETERS angstrom
4.196 0.000 0.000
-2.098 5.135 0.000
0.000 0.000 14.068
```

Summary:
E_form, kJ/mol of formula units: -637
Space group: Cmcm, No. 63
Excess energy over the best structure of this formula in the dataset, eV/atom: 0.000

---

Here is crystalline Sc4BeCr at its relaxed geometry from the Alexandria database. Energies are from GGA-PBE. Values from VASP.

Cell and atoms, written as Quantum ESPRESSO input:
```
&SYSTEM
  ibrav = 0, nat = 6, ntyp = 3
/
ATOMIC_SPECIES
Sc 44.96 Sc.upf
Be 9.01 Be.upf
Cr 52.00 Cr.upf
ATOMIC_POSITIONS angstrom
Sc -6.505 -3.031 -2.753
Sc -7.064 -0.260 -3.018
Sc -7.506 -1.566 -0.536
Sc -4.857 -1.119 -1.453
Be -9.724 -2.241 -2.910
Cr 0.000 0.000 0.000
CELL_PARAMETERS angstrom
-3.285 -3.810 -2.590
-5.280 -0.891 1.828
-4.400 1.712 -3.118
```

Summary:
E_form, kJ/mol of formula units: 426
Space group: F-43m, No. 216

---

Here is crystalline LaAs2SeN at its relaxed geometry from the Alexandria database. Energies are from GGA-PBE. Values from VASP.

Cell and atoms, written as Quantum ESPRESSO input:
```
&SYSTEM
  ibrav = 0, nat = 5, ntyp = 4
/
ATOMIC_SPECIES
As 74.92 As.upf
N 14.01 N.upf
Se 78.96 Se.upf
La 138.91 La.upf
ATOMIC_POSITIONS angstrom
As 1.951 -0.244 -1.096
As -0.313 -2.229 -0.062
N 0.000 0.000 0.000
Se 1.129 -0.216 2.057
La 2.767 -2.688 0.899
CELL_PARAMETERS angstrom
-0.626 -4.457 -0.123
3.903 -0.488 -2.192
2.257 -0.431 4.114
```

Summary:
Space group: P4/mmm, No. 123
Formation energy (no corrections), eV/atom: -0.087
Excess energy over the best structure of this formula in the dataset, eV/atom: 0.000

---

Here is crystalline HfSe at its relaxed geometry from the Alexandria database. Energies are from GGA-PBE. Values from VASP.

Cell and atoms, written as Quantum ESPRESSO input:
```
&SYSTEM
  ibrav = 0, nat = 16, ntyp = 2
/
ATOMIC_SPECIES
Hf 178.49 Hf.upf
Se 78.96 Se.upf
ATOMIC_POSITIONS angstrom
Hf -8.044 3.972 1.846
Hf -8.147 -2.771 -1.001
Hf -11.684 0.928 -0.222
Hf -4.508 0.274 1.067
Hf -10.984 4.113 -0.670
Hf -4.519 -1.586 -1.649
Hf -10.513 -1.564 -2.945
Hf -4.989 4.090 0.626
Se -9.669 2.322 0.801
Se -6.523 -1.121 0.044
Se -9.796 -0.747 -0.512
Se -6.396 1.949 1.357
Se -9.073 6.056 0.560
Se -6.430 -3.530 -2.879
Se -12.737 0.407 -2.604
Se -2.765 2.120 0.285
CELL_PARAMETERS angstrom
-7.048 8.501 2.025
-8.454 -5.974 -4.344
-0.689 -1.325 3.164
```

Summary:
Space group: P4/m, No. 83
Formation energy (no corrections), eV/atom: -0.696

---

Number 1: magnetic moment 1.00 μB/f.u.. Number 2: magnetic moment 0.00 μB/f.u.. Number 3: magnetic moment 0.00 μB/f.u.. Number 4: magnetic moment 0.00 μB/f.u.. Number 5: magnetic moment 0.00 μB/f.u.. Number 6: magnetic moment 3.67 μB/f.u.. Number 7: magnetic moment 0.00 μB/f.u.. Number 8: magnetic moment 0.30 μB/f.u..